Compound: P2W2O11
Source: Alexandria via LeMat-Bulk
Functional: SCAN
Structure: PBEsol geometry

a = 15.9125 Å, b = 6.2799 Å, c = 8.0570 Å
α = 90.00°, β = 90.00°, γ = 90.00°
Last column: nearest neighbours and their distance in Å.
Space group Pnma (No. 62)
Symmetry-distinct sites (fractional):
P1 0.0849 0.2500 0.0902 [4 per cell]  4 O 1.52-1.55
P2 0.2441 0.7500 0.9989 [4 per cell]  4 O 1.50-1.55
W1 0.0618 0.7500 0.2326 [4 per cell]  2 O 1.71-1.90
W2 0.1989 0.7500 0.5927 [4 per cell]  2 O 1.71-1.89
O1 0.0103 0.2500 0.6103 [4 per cell]  1 W 1.71
O2 0.0188 0.2500 0.9523 [4 per cell]  1 P 1.53
O3 0.0688 0.0556 0.2045 [8 per cell]  1 P 1.55
O4 0.1048 0.7500 0.6943 [4 per cell]  1 W 1.71
O5 0.1517 0.7500 0.0368 [4 per cell]  1 P 1.50
O6 0.1581 0.7500 0.3723 [4 per cell]  2 W 1.89-1.90
O7 0.1725 0.2500 0.0158 [4 per cell]  1 P 1.52
O8 0.2102 0.0560 0.5774 [8 per cell]  1 P 1.55
O9 0.2387 0.2500 0.3109 [4 per cell]  1 P 1.54

Properties
- Formation energy without anion corrections: -53.2 kcal/mol of atoms
- Final energy: -17.554 eV/atom
- Calculated volume: 201.3 Å³/f.u.

=====

Compound: ZnPWO2
Source: Alexandria via LeMat-Bulk
Functional: SCAN
Structure: PBEsol geometry

a = 3.6572 Å, b = 3.6572 Å, c = 4.7896 Å
α = 90.00°, β = 90.00°, γ = 90.00°
Last column: nearest neighbours and their distance in Å.
Space group P4/mmm (No. 123)
Symmetry-distinct sites (fractional):
Zn1 0.0000 0.0000 0.0000 [1 per cell]  4 O 1.83
P1 0.0000 0.0000 0.5000 [1 per cell]  2 Zn 2.39, 4 W 2.59
W1 0.5000 0.5000 0.5000 [1 per cell]  4 P 2.59
O1 0.0000 0.5000 0.0000 [2 per cell]  2 Zn 1.83

Properties
- Formation energy without anion corrections: 12.6 kcal/mol of atoms
- Final energy: -20.664 eV/atom
- Calculated volume: 64.1 Å³/f.u.

=====

Compound: ZrP2WO
Source: Alexandria via LeMat-Bulk
Functional: SCAN
Structure: PBEsol geometry

a = 4.9910 Å, b = 4.9910 Å, c = 3.8068 Å
α = 90.00°, β = 90.00°, γ = 90.00°
Last column: nearest neighbours and their distance in Å.
Space group P4/mmm (No. 123)
Symmetry-distinct sites (fractional):
Zr1 0.0000 0.0000 0.0000 [1 per cell]  2 O 1.90
P1 0.0000 0.5000 0.0000 [2 per cell]  2 Zr 2.50
W1 0.5000 0.5000 0.5000 [1 per cell]  8 P 3.14
O1 0.0000 0.0000 0.5000 [1 per cell]  2 Zr 1.90

Properties
- Formation energy without anion corrections: 5.6 kcal/mol of atoms
- Final energy: -25.241 eV/atom
- Calculated volume: 94.8 Å³/f.u.